(a)
## K3Te4 (PBE)

Data for an optimized crystal structure of K3Te4.

The structure in CIF format:
```
data_K3Te4
_chemical_formula_sum 'K3 Te4'
_space_group_name_H-M_alt 'P 1'
_space_group_IT_number 1
_space_group_name_Hall 'P 1'
_cell_length_a 4.512
_cell_length_b 5.399
_cell_length_c 12.108
_cell_angle_alpha 102.88
_cell_angle_beta 100.74
_cell_angle_gamma 90.00
loop_
_atom_site_label
_atom_site_type_symbol
_atom_site_fract_x
_atom_site_fract_y
_atom_site_fract_z
Te1 Te 0.938 0.438 0.875
Te2 Te 0.338 0.338 0.675
Te3 Te 0.662 0.662 0.325
K1 K 0.821 0.821 0.641
Te4 Te 0.062 0.562 0.125
K2 K 0.179 0.179 0.359
K3 K 0.500 0.000 0.000
```

Summary:
space-group type: No. 71
spin magnetization: 0.000 μB/f.u.
N(E_F): 5.436 states/eV/f.u.

=====

(b)
## K3Te4 (PBE)

Data for an optimized crystal structure of K3Te4.

The structure in CIF format:
```
data_K3Te4
_chemical_formula_sum 'K3 Te4'
_space_group_name_H-M_alt 'P 1'
_space_group_IT_number 1
_space_group_name_Hall 'P 1'
_cell_length_a 7.269
_cell_length_b 7.269
_cell_length_c 5.819
_cell_angle_alpha 90.00
_cell_angle_beta 90.00
_cell_angle_gamma 120.00
loop_
_atom_site_label
_atom_site_type_symbol
_atom_site_fract_x
_atom_site_fract_y
_atom_site_fract_z
Te1 Te 0.667 0.333 0.500
K1 K 0.000 0.500 0.000
Te2 Te 0.000 0.000 0.767
K2 K 0.500 0.500 0.000
Te3 Te 0.333 0.667 0.500
K3 K 0.500 0.000 0.000
Te4 Te 0.000 0.000 0.233
```

Summary:
space-group type: No. 191
spin magnetization: 0.005 μB/f.u.
N(E_F): 8.319 states/eV/f.u.

=====

The structure with the greatest stability is (a).